No. 1
# AsPdIN2 PBE relaxed
# Energy above the lowest structure with this stoichiometry, meV/atom: 0
# Total moment, Bohr magnetons per cell: 0.7
# Density of states at the Fermi level, states/eV/atom: 0.6395
# Calculated total energy, eV per cell: -21.8
data_AsPdIN2
_cell_length_a 3.754
_cell_length_b 3.754
_cell_length_c 7.708
_cell_angle_alpha 90.00
_cell_angle_beta 90.00
_cell_angle_gamma 90.00
_space_group_name_H-M_alt 'P 4/m m m'
_space_group_IT_number 123
_space_group_name_Hall '-P 4 2'
loop_
_atom_site_label
_atom_site_fract_x
_atom_site_fract_y
_atom_site_fract_z
As1 0.000 0.000 0.000
Pd1 0.500 0.500 0.500
I1 0.000 0.000 0.500
N1 0.000 0.500 0.000

---

No. 2
# Hf4BiRu PBE relaxed
# Calculated formation energy, eV per atom: -0.20
# Total moment, Bohr magnetons per cell: 0.0
# Density of states at the Fermi level, states/eV/atom: 1.1571
# Calculated total energy, eV per cell: -216.7
data_Hf4BiRu
_cell_length_a 8.177
_cell_length_b 12.206
_cell_length_c 5.654
_cell_angle_alpha 90.00
_cell_angle_beta 110.05
_cell_angle_gamma 90.00
_space_group_name_H-M_alt 'C 1 2/c 1'
_space_group_IT_number 15
loop_
_space_group_symop_operation_xyz
'x,y,z'
'-x,-y,-z'
'-x,y,-z+1/2'
'x,-y,z+1/2'
'x+1/2,y+1/2,z'
'-x+1/2,-y+1/2,-z'
'-x+1/2,y+1/2,-z+1/2'
'x+1/2,-y+1/2,z+1/2'
loop_
_atom_site_label
_atom_site_fract_x
_atom_site_fract_y
_atom_site_fract_z
Hf1 0.109 0.180 0.065
Hf2 0.224 0.412 0.356
Bi1 0.000 0.385 0.750
Ru1 0.000 0.002 0.250

---

No. 3
# Li2PPd5 PBE relaxed
# Energy above the lowest structure with this stoichiometry, meV/atom: 481
# Calculated formation energy, eV per atom: -0.05
# Total moment, Bohr magnetons per cell: 0.0
# Density of states at the Fermi level, states/eV/atom: 0.4607
# Calculated total energy, eV per cell: -142.5
data_Li2PPd5
_cell_length_a 4.317
_cell_length_b 14.660
_cell_length_c 10.222
_cell_angle_alpha 90.00
_cell_angle_beta 90.00
_cell_angle_gamma 90.00
_space_group_name_H-M_alt 'C m c m'
_space_group_IT_number 63
_space_group_name_Hall '-C 2c 2'
loop_
_atom_site_label
_atom_site_fract_x
_atom_site_fract_y
_atom_site_fract_z
Li1 0.000 0.129 0.114
P1 0.000 0.166 0.750
Pd1 0.000 0.049 0.611
Pd2 0.000 0.260 0.576
Pd3 0.000 0.280 0.250